<i>
{
  "formula": "Li3NbS4",
  "functional": "meta-GGA SCAN",
  "state": "PBEsol geometry",
  "dos_ef_per_ev_atom": 0.0000,
  "m_tot_mub_per_atom": 0.000,
  "lattice_angstrom": [[8.8297, 0.0000, 0.0000], [-2.9432, 8.3247, 0.0000], [-2.9432, -4.1624, 7.2094]],
  "species": ["Li", "Li", "Li", "Li", "Li", "Li", "Li", "Li", "Li", "Li", "Li", "Li", "Nb", "Nb", "Nb", "Nb", "S", "S", "S", "S", "S", "S", "S", "S", "S", "S", "S", "S", "S", "S", "S", "S"],
  "frac_coords": [[0.0000, 0.2381, 0.5011], [0.4989, 0.7370, 0.4989], [0.2381, 0.0000, 0.5011], [0.2630, 0.7619, 0.7619], [0.2381, 0.5011, 0.0000], [0.7619, 0.7619, 0.2630], [0.5011, 0.2381, 0.0000], [0.4989, 0.4989, 0.7370], [0.0000, 0.5011, 0.2381], [0.5011, 0.0000, 0.2381], [0.7619, 0.2630, 0.7619], [0.7370, 0.4989, 0.4989], [0.2823, 0.2823, 0.2823], [0.7177, 0.0000, 0.0000], [0.0000, 0.0000, 0.7177], [0.0000, 0.7177, 0.0000], [0.2399, 0.4870, 0.4870], [0.2471, 0.2471, 0.7601], [0.7713, 0.7713, 0.7713], [0.0000, 0.0000, 0.2287], [0.0000, 0.2287, 0.0000], [0.5130, 0.7529, 0.0000], [0.5130, 0.0000, 0.7529], [0.4870, 0.2399, 0.4870], [0.0000, 0.7529, 0.5130], [0.7601, 0.2471, 0.2471], [0.7529, 0.0000, 0.5130], [0.2471, 0.7601, 0.2471], [0.7529, 0.5130, 0.0000], [0.2287, 0.0000, 0.0000], [0.4870, 0.4870, 0.2399], [0.0000, 0.5130, 0.7529]]
}


<ii>
{
  "formula": "Li3NbS4",
  "functional": "meta-GGA SCAN",
  "state": "PBEsol geometry",
  "dos_ef_per_ev_atom": 0.1440,
  "m_tot_mub_per_atom": 0.000,
  "lattice_angstrom": [[-5.3162, 3.9023, 3.4514], [-0.7311, -7.1639, 6.9738], [4.8488, 3.2255, 3.8218]],
  "species": ["Li", "Li", "Li", "Li", "Li", "Li", "Li", "Li", "Li", "Li", "Li", "Li", "Nb", "Nb", "Nb", "Nb", "S", "S", "S", "S", "S", "S", "S", "S", "S", "S", "S", "S", "S", "S", "S", "S"],
  "frac_coords": [[0.7499, 0.2500, 0.5000], [0.7499, 0.2500, 0.0000], [0.0078, 0.0000, 0.2500], [0.4922, 0.5000, 0.7500], [0.7501, 0.7500, 0.0000], [0.7501, 0.7500, 0.5000], [0.2499, 0.2500, 0.5000], [0.2499, 0.2500, 0.0000], [0.5078, 0.5000, 0.2500], [0.9922, 0.0000, 0.7500], [0.2501, 0.7500, 0.0000], [0.2501, 0.7500, 0.5000], [0.9732, 0.5000, 0.2500], [0.5268, 0.0000, 0.7500], [0.4732, 0.0000, 0.2500], [0.0268, 0.5000, 0.7500], [0.0034, 0.2607, 0.2500], [0.7387, 0.0000, 0.4927], [0.7387, 0.0000, 0.0073], [0.0035, 0.7393, 0.2500], [0.4965, 0.2393, 0.7500], [0.7613, 0.5000, 0.9927], [0.7613, 0.5000, 0.5073], [0.4966, 0.7607, 0.7500], [0.5034, 0.2393, 0.2500], [0.2387, 0.5000, 0.4927], [0.2387, 0.5000, 0.0073], [0.5035, 0.7607, 0.2500], [0.9965, 0.2607, 0.7500], [0.2613, 0.0000, 0.9927], [0.2613, 0.0000, 0.5073], [0.9966, 0.7393, 0.7500]]
}


Energy above the most stable structure, in meV/atom: <i> 0; <ii> 62


<i>
{
  "formula": "Li3NbS4",
  "functional": "meta-GGA SCAN",
  "state": "PBEsol geometry",
  "dos_ef_per_ev_atom": 0.0000,
  "m_tot_mub_per_atom": 0.000,
  "lattice_angstrom": [[7.3176, 0.0000, 0.0000], [3.6588, 12.7543, 0.0000], [3.6588, 0.0000, 13.0585]],
  "species": ["Li", "Li", "Li", "Li", "Li", "Li", "Li", "Li", "Li", "Li", "Li", "Li", "Li", "Li", "Li", "Li", "Li", "Li", "Li", "Li", "Li", "Li", "Li", "Li", "Nb", "Nb", "Nb", "Nb", "Nb", "Nb", "Nb", "Nb", "S", "S", "S", "S", "S", "S", "S", "S", "S", "S", "S", "S", "S", "S", "S", "S", "S", "S", "S", "S", "S", "S", "S", "S", "S", "S", "S", "S", "S", "S", "S", "S"],
  "frac_coords": [[0.9946, 0.0000, 0.0000], [0.4963, 0.0000, 0.0000], [0.2147, 0.9875, 0.5101], [0.6183, 0.0581, 0.2481], [0.7052, 0.1798, 0.7016], [0.1373, 0.1935, 0.3219], [0.1200, 0.2496, 0.0617], [0.1196, 0.2504, 0.5617], [0.0808, 0.3065, 0.8219], [0.6350, 0.3202, 0.2016], [0.4264, 0.4419, 0.7481], [0.9522, 0.5125, 0.0101], [0.7446, 0.5000, 0.5000], [0.2463, 0.5000, 0.5000], [0.4748, 0.4875, 0.9899], [0.6164, 0.5581, 0.2519], [0.1568, 0.6798, 0.7984], [0.2091, 0.6935, 0.1781], [0.9317, 0.7496, 0.4383], [0.4313, 0.7504, 0.9383], [0.6526, 0.8065, 0.6781], [0.5866, 0.8202, 0.2984], [0.9245, 0.9419, 0.7519], [0.7123, 0.0125, 0.4899], [0.2951, 0.0204, 0.7702], [0.5792, 0.2403, 0.9876], [0.5695, 0.2597, 0.4876], [0.0655, 0.4796, 0.2702], [0.8153, 0.5204, 0.7298], [0.3167, 0.7403, 0.5124], [0.8071, 0.7597, 0.0124], [0.0857, 0.9796, 0.2298], [0.3055, 0.9889, 0.3172], [0.0876, 0.0917, 0.6699], [0.2249, 0.1131, 0.9159], [0.7438, 0.0918, 0.8948], [0.9219, 0.1437, 0.1908], [0.4373, 0.1489, 0.4259], [0.8779, 0.1626, 0.4895], [0.4246, 0.1985, 0.1493], [0.3731, 0.3015, 0.6493], [0.7905, 0.3374, 0.9895], [0.3361, 0.3511, 0.9259], [0.8156, 0.3563, 0.6908], [0.5856, 0.4082, 0.3948], [0.0880, 0.3869, 0.4159], [0.9294, 0.4083, 0.1699], [0.0444, 0.5111, 0.8172], [0.3727, 0.4889, 0.1828], [0.5075, 0.5917, 0.8301], [0.8908, 0.6131, 0.5841], [0.3886, 0.5918, 0.6052], [0.8627, 0.6437, 0.3092], [0.6131, 0.6489, 0.0741], [0.1174, 0.6626, 0.0105], [0.3239, 0.6985, 0.3507], [0.7724, 0.8015, 0.8507], [0.5300, 0.8374, 0.5105], [0.0120, 0.8511, 0.5741], [0.2563, 0.8563, 0.8092], [0.7304, 0.9082, 0.1052], [0.2539, 0.8869, 0.0841], [0.8492, 0.9083, 0.3301], [0.6116, 0.0111, 0.6828]]
}


<ii>
{
  "formula": "Li3NbS4",
  "functional": "meta-GGA SCAN",
  "state": "PBEsol geometry",
  "dos_ef_per_ev_atom": 0.0000,
  "m_tot_mub_per_atom": 0.000,
  "lattice_angstrom": [[-3.3923, -4.5854, 1.8981], [4.6996, -2.2295, 3.0132], [-1.5944, 3.1843, 4.8430]],
  "species": ["Nb", "S", "S", "S", "S", "Li", "Li", "Li"],
  "frac_coords": [[0.0000, 0.0000, 0.0000], [0.2184, 0.2184, 0.2184], [0.2184, 0.7816, 0.7816], [0.7816, 0.2184, 0.7816], [0.7816, 0.7816, 0.2184], [0.0000, 0.0000, 0.5000], [0.0000, 0.5000, 0.0000], [0.5000, 0.0000, 0.0000]]
}


Energy above the most stable structure, in meV/atom: <i> 11; <ii> 0